1.
A geometry-optimized TaPdS2Cl structure. Source: the Alexandria database, functional GGA-PBE.

Cell lengths 4.773, 4.773, 4.818 Å; angles 90.00, 90.00, 90.00 degrees
Atoms (fractional coordinates):
Ta (0.000, 0.000, 0.000)
Pd (0.500, 0.500, 0.500)
S (0.000, 0.500, 0.000)
S (0.500, 0.000, 0.000)
Cl (0.000, 0.000, 0.500)

Values from the calculation:
The space-group type is P4/mmm, No. 123. Its formation energy without anion corrections is -110 meV/atom. Its polymorph energy (0 for the lowest one) is 0 meV/atom. For the total energy, the calculation gives -5.54 eV/atom.

***

2.
A geometry-optimized Li3InCu structure. Source: the Alexandria database, functional GGA-PBE.

Cell lengths 6.611, 6.611, 6.611 Å; angles 129.23, 86.33, 115.57 degrees
Atoms (fractional coordinates):
Li (0.256, 0.000, 0.756)
Li (0.256, 0.500, 0.256)
Li (0.299, 0.049, 0.250)
Li (0.701, 0.951, 0.750)
Li (0.744, 0.000, 0.244)
Li (0.744, 0.500, 0.744)
In (0.308, 0.558, 0.750)
In (0.692, 0.442, 0.250)
Cu (0.000, 0.000, 0.500)
Cu (0.000, 0.500, 0.000)

Values from the calculation:
The space-group type is Imma, No. 74. Its polymorph energy (0 for the lowest one) is 0 meV/atom. For the total energy, the calculation gives -2.55 eV/atom. The calculation puts the energy of formation at -0.032 eV per atom.

***

Q: total energy of number 1 (TaPdS2Cl)?
A: -5.54 eV/atom

***

Q: What is the formula in the second record?
A: Li3InCu